Entry 1:
Here is an optimized crystal structure of Na2InO from Alexandria via LeMat-Bulk. Energies are from GGA-PBEsol.

Unit cell a=4.8636 b=6.3262 c=6.3262 alpha=81.50 beta=67.39 gamma=67.39
Closest atoms and distances in Å follow each position.
Fractional positions:
In (0.7500, 0.5000, 0.5000)  2 O 2.43
In (0.0000, 0.0000, 0.0000)  2 O 2.43
Na (0.2623, 0.8627, 0.3627)  2 O 2.35
Na (0.8750, 0.6373, 0.8627)  2 O 2.35
Na (0.3750, 0.3627, 0.1373)  2 O 2.35
Na (0.4877, 0.1373, 0.6373)  2 O 2.35
O (0.5000, 0.0000, 0.0000)  4 Na 2.35, 2 In 2.43
O (0.2500, 0.5000, 0.5000)  4 Na 2.35, 2 In 2.43

Calculated values
Excess energy over the best structure of this formula in the dataset, meV/atom: 0.0
Calculated volume, A^3/atom: 20.74
Space-group type: I-42d (122)
ΔE_f (raw), meV per atom: -552

---

Entry 2:
Here is an optimized crystal structure of CaCd2Ir2 from Alexandria via LeMat-Bulk. Energies are from GGA-PBEsol.

Unit cell a=4.2990 b=4.2990 c=6.4171 alpha=109.57 beta=109.57 gamma=90.00
Closest atoms and distances in Å follow each position.
Fractional positions:
Ca (0.0000, 0.0000, 0.0000)  8 Ir 3.26, 8 Cd 3.55
Cd (0.2500, 0.7500, 0.5000)  4 Ir 2.71
Cd (0.7500, 0.2500, 0.5000)  4 Ir 2.71
Ir (0.6040, 0.6040, 0.2081)  1 Ir 2.35
Ir (0.3960, 0.3960, 0.7919)  1 Ir 2.35

Calculated values
Calculated volume, A^3/atom: 20.89
Energy of formation, meV/atom: 38.6
Space-group type: I4/mmm (139)

---

Entry 3:
Here is an optimized crystal structure of Ni2AsPb from Alexandria via LeMat-Bulk. Energies are from GGA-PBEsol.

Unit cell a=3.1416 b=3.1416 c=6.7348 alpha=90.00 beta=90.00 gamma=90.00
Closest atoms and distances in Å follow each position.
Fractional positions:
Pb (0.0000, 0.0000, 0.4406)  5 Ni 2.75-2.93
As (0.5000, 0.5000, 0.8549)  5 Ni 2.32-2.44
Ni (0.5000, 0.5000, 0.1992)  1 As 2.32, 4 Ni 2.58
Ni (0.0000, 0.0000, 0.0053)  4 As 2.44, 4 Ni 2.58

Calculated values
Calculated volume, A^3/atom: 16.62
Energy of formation, meV/atom: 23.9
Space-group type: P4mm (99)

---

Entry 4:
Here is an optimized crystal structure of Sr2Zn2As3 from Alexandria via LeMat-Bulk. Energies are from GGA-PBEsol.

Unit cell a=4.2514 b=8.3260 c=9.8236 alpha=81.22 beta=77.50 gamma=75.21
Closest atoms and distances in Å follow each position.
Fractional positions:
As (0.6094, 0.2372, 0.5441)  4 Zn 2.52-2.64
As (0.3906, 0.7628, 0.4559)  4 Zn 2.52-2.64
As (0.0771, 0.9714, 0.8745)  1 As 2.50, 1 Zn 2.61
As (0.1513, 0.4933, 0.2041)  3 Zn 2.53-2.54
As (0.8487, 0.5067, 0.7959)  3 Zn 2.53-2.54
As (0.9229, 0.0286, 0.1255)  1 As 2.50, 1 Zn 2.61
Zn (0.9603, 0.7680, 0.3115)  4 As 2.53-2.61
Zn (0.0397, 0.2320, 0.6885)  4 As 2.53-2.61
Zn (0.4117, 0.5267, 0.6498)  4 As 2.52-2.64
Zn (0.5883, 0.4733, 0.3502)  4 As 2.52-2.64
Sr (0.3943, 0.2630, 0.9484)  7 As 3.15-3.30, 3 Zn 3.31-3.38
Sr (0.6057, 0.7370, 0.0516)  7 As 3.15-3.30, 3 Zn 3.31-3.38
Sr (0.2656, 0.1311, 0.3377)  6 As 3.06-3.11
Sr (0.7344, 0.8689, 0.6623)  6 As 3.06-3.11

Calculated values
Calculated volume, A^3/atom: 23.32
Energy of formation, meV/atom: -789.3
Space-group type: C2/m (12)

---

Entry 5:
Here is an optimized crystal structure of Cs4Mg3H10 from Alexandria via LeMat-Bulk. Energies are from GGA-PBEsol.

Unit cell a=6.1580 b=7.8676 c=13.5473 alpha=90.00 beta=90.00 gamma=113.04
Closest atoms and distances in Å follow each position.
Fractional positions:
H (0.3868, 0.1932, 0.4613)  2 Mg 1.97-2.07
H (0.3606, 0.2212, 0.2500)  2 Mg 2.01
H (0.2501, 0.5003, 0.1445)  1 Mg 1.89
H (0.3064, 0.1932, 0.0387)  2 Mg 1.97-2.07
H (0.8064, 0.1932, 0.4613)  2 Mg 1.97-2.07
H (0.6936, 0.8068, 0.9613)  2 Mg 1.97-2.07
H (0.4766, 0.9531, 0.3566)  2 Mg 1.97-2.09
H (0.6132, 0.8068, 0.5387)  2 Mg 1.97-2.07
H (0.5234, 0.0469, 0.6434)  2 Mg 1.97-2.09
H (0.7501, 0.5003, 0.3555)  1 Mg 1.89
H (0.1132, 0.8068, 0.9613)  2 Mg 1.97-2.07
H (0.1394, 0.7788, 0.7500)  2 Mg 2.01
H (0.6394, 0.7788, 0.7500)  2 Mg 2.01
H (0.9766, 0.9531, 0.1434)  2 Mg 1.97-2.09
H (0.1936, 0.8068, 0.5387)  2 Mg 1.97-2.07
H (0.2499, 0.4997, 0.6445)  1 Mg 1.89
H (0.8868, 0.1932, 0.0387)  2 Mg 1.97-2.07
H (0.7499, 0.4997, 0.8555)  1 Mg 1.89
H (0.8606, 0.2212, 0.2500)  2 Mg 2.01
H (0.0234, 0.0469, 0.8566)  2 Mg 1.97-2.09
Mg (0.6202, 0.2403, 0.3445)  6 H 1.89-2.09
Mg (0.3798, 0.7597, 0.6555)  6 H 1.89-2.09
Mg (0.0000, 0.0000, 0.0000)  6 H 1.97
Mg (0.8798, 0.7597, 0.8445)  6 H 1.89-2.09
Mg (0.5000, 0.0000, 0.5000)  6 H 1.97
Mg (0.1202, 0.2403, 0.1555)  6 H 1.89-2.09
Cs (0.4572, 0.9144, 0.1391)  10 H 2.96-3.10
Cs (0.0428, 0.0856, 0.6391)  10 H 2.96-3.10
Cs (0.7442, 0.4884, 0.6058)  11 H 3.05-3.39
Cs (0.5428, 0.0856, 0.8609)  10 H 2.96-3.10
Cs (0.2558, 0.5116, 0.3942)  11 H 3.05-3.39
Cs (0.7558, 0.5116, 0.1058)  11 H 3.05-3.39
Cs (0.9572, 0.9144, 0.3609)  10 H 2.96-3.10
Cs (0.2442, 0.4884, 0.8942)  11 H 3.05-3.39

Calculated values
Calculated volume, A^3/atom: 17.76
Space-group type: Cmce (64)

---

Entry 6:
Here is an optimized crystal structure of ScCrIn from Alexandria via LeMat-Bulk. Energies are from GGA-PBEsol.

Unit cell a=3.1317 b=4.6714 c=4.6714 alpha=120.00 beta=90.00 gamma=90.00
Closest atoms and distances in Å follow each position.
Fractional positions:
Sc (0.3330, 0.6667, 0.3333)  6 Cr 3.12, 6 In 3.12, 2 Sc 3.13
In (0.8318, 0.3333, 0.6667)  3 Cr 2.70
Cr (0.8352, 0.0000, 0.0000)  3 In 2.70

Calculated values
Calculated volume, A^3/atom: 19.73
Energy of formation, meV/atom: 109.5
Space-group type: P3m1 (156)

---

Entry 7:
Here is an optimized crystal structure of Mo5W from Alexandria via LeMat-Bulk. Energies are from GGA-PBEsol.

Unit cell a=3.1319 b=4.4222 c=6.8294 alpha=90.00 beta=103.26 gamma=90.00
Closest atoms and distances in Å follow each position.
Fractional positions:
Mo (0.8331, 0.5000, 0.6662)  6 Mo 2.71, 2 W 2.72
Mo (0.1669, 0.5000, 0.3338)  6 Mo 2.71, 2 W 2.72
Mo (0.0000, 0.0000, 0.0000)  4 W 2.71, 4 Mo 2.72
Mo (0.3332, 0.0000, 0.6663)  8 Mo 2.71-2.72
Mo (0.6668, 0.0000, 0.3337)  8 Mo 2.71-2.72
W (0.5000, 0.5000, 0.0000)  8 Mo 2.71-2.72

Calculated values
Calculated volume, A^3/atom: 15.34
Energy of formation, meV/atom: -1.0
Space-group type: Cmmm (65)

---

Entry 8:
Here is an optimized crystal structure of CdBr2Cl from Alexandria via LeMat-Bulk. Energies are from GGA-PBEsol.

Unit cell a=3.4969 b=3.4969 c=7.6934 alpha=90.00 beta=90.00 gamma=90.00
Closest atoms and distances in Å follow each position.
Fractional positions:
Cd (0.5000, 0.5000, 0.0000)  8 Br 2.96
Cl (0.5000, 0.5000, 0.5000)  8 Br 3.32, 4 Cl 3.50
Br (0.0000, 0.0000, 0.2120)  4 Cd 2.96, 1 Br 3.26
Br (0.0000, 0.0000, 0.7880)  4 Cd 2.96, 1 Br 3.26

Calculated values
Calculated volume, A^3/atom: 23.52
Space-group type: P4/mmm (123)
ΔE_f (raw), meV per atom: -121

---

Entry 9:
Here is an optimized crystal structure of Sr2Be3 from Alexandria via LeMat-Bulk. Energies are from GGA-PBEsol.

Unit cell a=3.8260 b=3.8260 c=8.9233 alpha=90.00 beta=90.00 gamma=120.00
Closest atoms and distances in Å follow each position.
Fractional positions:
Sr (0.6667, 0.3333, 0.2969)  1 Be 2.87
Sr (0.3333, 0.6667, 0.7031)  1 Be 2.87
Be (0.6667, 0.3333, 0.9751)  6 Be 2.22-2.25
Be (0.3333, 0.6667, 0.0249)  6 Be 2.22-2.25
Be (0.0000, 0.0000, 0.0000)  6 Be 2.22

Calculated values
Excess energy over the best structure of this formula in the dataset, meV/atom: 0.0
Calculated volume, A^3/atom: 22.62
Energy of formation, meV/atom: 137.5
Space-group type: P-3m1 (164)

---

Entry 10:
Here is an optimized crystal structure of NaAl6Fe3Si6B3H3O30F from Alexandria via LeMat-Bulk. Energies are from GGA-PBEsol.

Unit cell a=7.1382 b=9.4982 c=9.4982 alpha=113.95 beta=104.51 gamma=104.51
Closest atoms and distances in Å follow each position.
Fractional positions:
O (0.9992, 0.0000, 0.2812)  2 Si 1.65
O (0.7180, 0.7188, 0.7188)  2 Si 1.65
O (0.9236, 0.7147, 0.2884)  1 Si 1.62
O (0.6285, 0.4040, 0.0000)  1 H 0.98
O (0.8307, 0.7187, 0.0000)  2 Si 1.64
O (0.9236, 0.2884, 0.7147)  1 Si 1.62
O (0.6285, 0.0000, 0.4040)  1 H 0.98
O (0.4130, 0.1786, 0.3807)  1 Si 1.62
O (0.0323, 0.7979, 0.6193)  1 Si 1.62
O (0.2089, 0.5737, 0.2853)  1 Si 1.62
O (0.6534, 0.1834, 0.1834)  1 B 1.37
O (0.1121, 0.2813, 0.2813)  2 Si 1.64
O (0.4699, 0.8166, 0.0000)  1 B 1.37
O (0.2245, 0.5960, 0.5960)  1 H 0.98
O (0.2344, 0.8214, 0.2021)  1 Si 1.62
O (0.6352, 0.7116, 0.4263)  1 Si 1.62
O (0.2344, 0.2021, 0.8214)  1 Si 1.62
O (0.2089, 0.2853, 0.5737)  1 Si 1.62
O (0.4699, 0.0000, 0.8166)  1 B 1.37
O (0.8307, 0.0000, 0.7187)  2 Si 1.64
O (0.0323, 0.6193, 0.7979)  1 Si 1.62
O (0.4130, 0.3807, 0.1786)  1 Si 1.62
O (0.9992, 0.2812, 0.0000)  2 Si 1.65
O (0.5022, 0.1493, 0.6671)  1 B 1.38
O (0.6352, 0.4263, 0.7116)  1 Si 1.62
O (0.8352, 0.4822, 0.3329)  1 B 1.38
O (0.3529, 0.5178, 0.8507)  1 B 1.38
O (0.8352, 0.3329, 0.4822)  1 B 1.38
O (0.5022, 0.6671, 0.1493)  1 B 1.38
O (0.3529, 0.8507, 0.5178)  1 B 1.38
F (0.1418, 0.0000, 0.0000)  3 Fe 2.18
Si (0.0023, 0.1939, 0.8111)  4 O 1.62-1.65
Si (0.1912, 0.1889, 0.3827)  4 O 1.62-1.65
Si (0.1912, 0.3827, 0.1889)  4 O 1.62-1.65
Si (0.8084, 0.8061, 0.6173)  4 O 1.62-1.65
Si (0.0023, 0.8111, 0.1939)  4 O 1.62-1.65
Si (0.8084, 0.6173, 0.8061)  4 O 1.62-1.65
Al (0.6522, 0.5544, 0.2222)  6 O 1.87-1.97
Al (0.4300, 0.7778, 0.3322)  6 O 1.87-1.97
Al (0.0978, 0.4456, 0.6678)  6 O 1.87-1.97
Al (0.0978, 0.6678, 0.4456)  6 O 1.87-1.97
Al (0.6522, 0.2222, 0.5544)  6 O 1.87-1.97
Al (0.4300, 0.3322, 0.7778)  6 O 1.87-1.97
Fe (0.4180, 0.0000, 0.1636)  4 O 2.00-2.09, 1 F 2.18
Fe (0.2544, 0.8364, 0.8364)  4 O 2.00-2.09, 1 F 2.18
Fe (0.4180, 0.1636, 0.0000)  4 O 2.00-2.09, 1 F 2.18
B (0.7751, 0.3314, 0.3314)  3 O 1.37-1.38
B (0.4437, 0.0000, 0.6686)  3 O 1.37-1.38
B (0.4437, 0.6686, 0.0000)  3 O 1.37-1.38
H (0.7600, 0.0000, 0.3892)  1 O 0.98
H (0.7600, 0.3892, 0.0000)  1 O 0.98
H (0.3708, 0.6108, 0.6108)  1 O 0.98
Na (0.7838, 0.0000, 0.0000)  6 O 2.47-2.73, 1 F 2.56

Calculated values
Calculated volume, A^3/atom: 9.86
Space-group type: R3m (160)

---

Entry 11:
Here is an optimized crystal structure of KNaSi2 from Alexandria via LeMat-Bulk. Energies are from GGA-PBEsol.

Unit cell a=4.7243 b=4.7243 c=10.8041 alpha=102.63 beta=102.63 gamma=90.00
Closest atoms and distances in Å follow each position.
Fractional positions:
K (0.2500, 0.7500, 0.5000)  4 Na 3.34, 4 Si 3.54
K (0.0000, 0.0000, 0.0000)  4 Na 3.34, 4 Si 3.54
Si (0.6250, 0.4246, 0.7500)  2 Si 2.41
Si (0.1250, 0.3254, 0.7500)  2 Si 2.41
Si (0.5754, 0.8750, 0.2500)  2 Si 2.41
Si (0.6746, 0.3750, 0.2500)  2 Si 2.41
Na (0.7500, 0.2500, 0.5000)  4 Si 2.84
Na (0.5000, 0.5000, 0.0000)  4 Si 2.84

Calculated values
Calculated volume, A^3/atom: 28.66
Space-group type: I-42d (122)
ΔE_f (raw), meV per atom: 394

---

Entry 12:
Here is an optimized crystal structure of NaTc3Sn from Alexandria via LeMat-Bulk. Energies are from GGA-PBEsol.

Unit cell a=4.9351 b=4.9351 c=4.9351 alpha=90.00 beta=90.00 gamma=90.00
Closest atoms and distances in Å follow each position.
Fractional positions:
Tc (0.0000, 0.0000, 0.5000)  2 Sn 2.47
Tc (0.5000, 0.0000, 0.0000)  2 Sn 2.47
Tc (0.0000, 0.5000, 0.0000)  2 Sn 2.47
Sn (0.0000, 0.0000, 0.0000)  6 Tc 2.47
Na (0.5000, 0.5000, 0.5000)  12 Tc 3.49

Calculated values
Excess energy over the best structure of this formula in the dataset, meV/atom: 0.0
Calculated volume, A^3/atom: 24.04
Energy of formation, meV/atom: 2187.5
Space-group type: Pm-3m (221)

---

no.,DFT total energy (eV per atom)
1,-3.31
2,-4.80
3,-5.33
4,-3.96
5,-2.73
6,-6.50
7,-12.11
8,-1.86
9,-3.00
10,-7.74
11,-3.11
12,-5.70